1.
Below is an optimized crystal structure of Pr2Ga4HgPt3, with properties calculated at the PBE-GGA level.

- SG = No. 115
- formation energy (eV per atom) = -0.815

Cell lengths 4.386, 4.386, 10.574 Å; angles 90.00, 90.00, 90.00 degrees
Atoms (fractional coordinates):
Pr  0.500  0.000  0.238
Pr  0.000  0.500  0.762
Ga  0.500  0.500  0.000
Ga  0.000  0.000  0.000
Ga  0.500  0.000  0.641
Ga  0.000  0.500  0.359
Hg  0.500  0.500  0.500
Pt  0.000  0.000  0.500
Pt  0.500  0.000  0.874
Pt  0.000  0.500  0.126

2.
Below is an optimized crystal structure of MgCu4Au6, with properties calculated at the PBE-GGA level.

- SG = No. 121
- formation energy (eV per atom) = 0.029

Cell lengths 6.135, 6.135, 6.782 Å; angles 116.89, 116.89, 90.00 degrees
Atoms (fractional coordinates):
Mg  0.500  0.500  0.000
Cu  0.052  0.766  0.818
Cu  0.948  0.948  0.182
Cu  0.766  0.052  0.818
Cu  0.234  0.234  0.182
Au  0.939  0.429  0.368
Au  0.429  0.939  0.368
Au  0.571  0.571  0.632
Au  0.000  0.500  0.000
Au  0.061  0.061  0.632
Au  0.500  0.000  0.000

3.
Below is an optimized crystal structure of PmThBiTe2, with properties calculated at the PBE-GGA level.

- formation energy without anion corrections (meV per atom) = -655
- SG = No. 107

Cell lengths 4.675, 4.675, 8.419 Å; angles 106.12, 106.12, 90.00 degrees
Each line ends with the local moment (μB).
Atoms (fractional coordinates):
Pm  0.883  0.883  0.767  0.10
Th  0.113  0.113  0.225  0.10
Bi  0.507  0.507  0.015  -0.01
Te  0.748  0.248  0.496  -0.01
Te  0.248  0.748  0.496  -0.01

4.
Below is an optimized crystal structure of Te2Se, with properties calculated at the PBE-GGA level.

- formation energy without anion corrections (meV per atom) = 239
- SG = No. 141
- ΔE to the lowest computed polymorph (meV per atom) = 198.2

Cell lengths 24.597, 24.597, 24.597 Å; angles 169.99, 169.99, 14.17 degrees
Atoms (fractional coordinates):
Te  0.724  0.724  0.000
Te  0.276  0.276  0.000
Te  0.974  0.474  0.500
Te  0.526  0.026  0.500
Te  0.607  0.607  0.000
Te  0.393  0.393  0.000
Te  0.857  0.357  0.500
Te  0.643  0.143  0.500
Se  0.943  0.943  0.000
Se  0.057  0.057  0.000
Se  0.193  0.693  0.500
Se  0.307  0.807  0.500

5.
Below is an optimized crystal structure of Rb2AgO2F4, with properties calculated at the PBE-GGA level.

- formation energy without anion corrections (meV per atom) = -1584
- SG = No. 139

Cell lengths 6.111, 6.111, 6.111 Å; angles 104.80, 111.86, 111.86 degrees
Each line ends with the local moment (μB).
Atoms (fractional coordinates):
Rb  0.500  0.750  0.250  0.00
Rb  0.500  0.250  0.750  0.00
Ag  0.000  0.000  0.000  0.50
O  0.000  0.582  0.582  0.80
O  0.000  0.418  0.418  0.80
F  0.000  0.783  0.217  0.12
F  0.566  0.783  0.783  0.12
F  0.000  0.217  0.783  0.12
F  0.434  0.217  0.217  0.12

6.
Below is an optimized crystal structure of TaSiP2, with properties calculated at the PBE-GGA level.

- formation energy without anion corrections (meV per atom) = 437
- SG = No. 216

Cell lengths 4.409, 4.409, 4.409 Å; angles 60.00, 60.00, 60.00 degrees
Atoms (fractional coordinates):
P  0.000  0.000  0.000
P  0.250  0.250  0.250
Si  0.500  0.500  0.500
Ta  0.750  0.750  0.750

Number 1: uncorrected energy -4.8239 eV/atom. Number 2: uncorrected energy -3.3933 eV/atom. Number 3: uncorrected energy -5.1215 eV/atom. Number 4: uncorrected energy -3.0166 eV/atom. Number 5: uncorrected energy -4.0497 eV/atom. Number 6: uncorrected energy -6.5866 eV/atom.